1.
## Ac2PrSn (PBE-GGA)

Data for a relaxed structure of Ac2PrSn.

```
data_Ac2PrSn
_chemical_formula_sum 'Ac2 Pr1 Sn1'
_cell_length_a 5.235
_cell_length_b 5.235
_cell_length_c 5.156
_cell_angle_alpha 90.00
_cell_angle_beta 90.00
_cell_angle_gamma 90.00
_space_group_name_H-M_alt 'P 4/m m m'
_space_group_IT_number 123
_space_group_name_Hall '-P 4 2'
loop_
_atom_site_label
_atom_site_fract_x
_atom_site_fract_y
_atom_site_fract_z
_atom_site_occupancy
Ac1 0.000 0.500 0.000 1
Pr1 0.000 0.000 0.500 1
Sn1 0.500 0.500 0.500 1
```

Its energy relative to the lowest polymorph listed for this composition is 0.0 meV/atom. The calculation puts the total energy at -4.612 eV/atom. The calculated formation energy is -362 meV per atom.

=====

2.
## Ac3Pr3Sn4 (PBE-GGA)

Data for a relaxed structure of Ac3Pr3Sn4.

```
data_Ac3Pr3Sn4
_chemical_formula_sum 'Ac6 Pr6 Sn8'
_cell_length_a 4.504
_cell_length_b 12.505
_cell_length_c 12.204
_cell_angle_alpha 90.00
_cell_angle_beta 90.00
_cell_angle_gamma 90.00
_space_group_name_H-M_alt 'A m m 2'
_space_group_IT_number 38
_space_group_name_Hall 'A 2 -2'
loop_
_atom_site_label
_atom_site_fract_x
_atom_site_fract_y
_atom_site_fract_z
_atom_site_occupancy
Ac1 0.000 0.000 0.000 1
Ac2 0.500 0.250 0.420 1
Pr1 0.000 0.000 0.339 1
Pr2 0.000 0.169 0.668 1
Sn1 0.500 0.000 0.542 1
Sn2 0.500 0.000 0.786 1
Sn3 0.500 0.131 0.174 1
```

The calculation puts the total energy at -4.905 eV/atom. The calculated formation energy is -638 meV per atom.

=====

3.
## AcPrSn (PBE-GGA)

Data for a relaxed structure of AcPrSn.

```
data_AcPrSn
_chemical_formula_sum 'Ac2 Pr2 Sn2'
_cell_length_a 4.328
_cell_length_b 4.328
_cell_length_c 10.604
_cell_angle_alpha 90.00
_cell_angle_beta 90.00
_cell_angle_gamma 90.00
_space_group_name_H-M_alt 'I 4 m m'
_space_group_IT_number 107
_space_group_name_Hall 'I 4 -2'
loop_
_atom_site_label
_atom_site_fract_x
_atom_site_fract_y
_atom_site_fract_z
_atom_site_occupancy
Ac1 0.000 0.000 0.000 1
Pr1 0.000 0.000 0.692 1
Sn1 0.000 0.000 0.335 1
```

Its energy relative to the lowest polymorph listed for this composition is 129.6 meV/atom. The calculation puts the total energy at -4.750 eV/atom. The calculated formation energy is -453 meV per atom.

=====

4.
## Ac5PrSn4 (PBE-GGA)

Data for a relaxed structure of Ac5PrSn4.

```
data_Ac5PrSn4
_chemical_formula_sum 'Ac10 Pr2 Sn8'
_cell_length_a 17.541
_cell_length_b 5.686
_cell_length_c 7.748
_cell_angle_alpha 90.00
_cell_angle_beta 90.76
_cell_angle_gamma 90.00
_space_group_name_H-M_alt 'C 1 2/m 1'
_space_group_IT_number 12
_space_group_name_Hall '-C 2y'
loop_
_atom_site_label
_atom_site_fract_x
_atom_site_fract_y
_atom_site_fract_z
_atom_site_occupancy
Ac1 0.000 0.000 0.000 1
Ac2 0.164 0.500 0.998 1
Ac3 0.166 0.500 0.508 1
Pr1 0.000 0.000 0.500 1
Sn1 0.008 0.500 0.261 1
Sn2 0.174 0.000 0.750 1
```

The calculation puts the total energy at -4.651 eV/atom. The calculated formation energy is -518 meV per atom.

=====

5.
## AcPr14Sn (PBE-GGA)

Data for a relaxed structure of AcPr14Sn.

```
data_AcPr14Sn
_chemical_formula_sum 'Ac2 Pr28 Sn2'
_cell_length_a 10.368
_cell_length_b 10.444
_cell_length_c 10.446
_cell_angle_alpha 90.00
_cell_angle_beta 90.00
_cell_angle_gamma 90.00
_space_group_name_H-M_alt 'A m m 2'
_space_group_IT_number 38
_space_group_name_Hall 'A 2 -2'
loop_
_atom_site_label
_atom_site_fract_x
_atom_site_fract_y
_atom_site_fract_z
_atom_site_occupancy
Ac1 0.000 0.000 0.000 1
Pr1 0.000 0.249 0.750 1
Pr2 0.244 0.000 0.259 1
Pr3 0.244 0.000 0.740 1
Pr4 0.244 0.240 0.500 1
Pr5 0.500 0.000 0.000 1
Pr6 0.500 0.000 0.500 1
Pr7 0.500 0.250 0.250 1
Sn1 0.000 0.000 0.500 1
```

The calculation puts the total energy at -4.752 eV/atom. The calculated formation energy is -63 meV per atom.

=====

6.
## Ac2PrSn (PBE-GGA)

Data for a relaxed structure of Ac2PrSn.

```
data_Ac2PrSn
_chemical_formula_sum 'Ac8 Pr4 Sn4'
_cell_length_a 8.349
_cell_length_b 8.349
_cell_length_c 8.349
_cell_angle_alpha 90.00
_cell_angle_beta 90.00
_cell_angle_gamma 90.00
_space_group_name_H-M_alt 'F m -3 m'
_space_group_IT_number 225
_space_group_name_Hall '-F 4 2 3'
loop_
_atom_site_label
_atom_site_fract_x
_atom_site_fract_y
_atom_site_fract_z
_atom_site_occupancy
Ac1 0.250 0.250 0.250 1
Pr1 0.000 0.000 0.000 1
Sn1 0.000 0.000 0.500 1
```

Its energy relative to the lowest polymorph listed for this composition is 200.6 meV/atom. The calculation puts the total energy at -4.411 eV/atom. The calculated formation energy is -162 meV per atom.

=====

The following magnetic moment values (in μB/cell) correspond, in order, to the records above: 0.00; 0.00; 0.00; 0.00; 0.00; 0.00.